A plane-wave DFT calculation with PBE was carried out for La5Bi4O after structural relaxation.

Structure (POSCAR):
```
La5Bi4O
1.0
-5.074 5.074 3.307
5.074 -5.074 3.307
5.074 5.074 -3.307
La Bi O
5 4 1
direct
0.000 0.000 0.000
0.125 0.308 0.622
0.308 0.686 0.182
0.503 0.125 0.818
0.686 0.503 0.378
0.208 0.995 0.394
0.601 0.814 0.606
0.814 0.208 0.213
0.995 0.601 0.787
0.328 0.328 0.000
```

## Properties
raw formation energy	-1.270	eV per atom
space group	I4 (79)
D(E_F)	2.9	states/eV/cell
density	7.5	g/cm3
magnetic moment	0.000	μB per cell